This record from Alexandria via LeMat-Bulk describes a relaxed structure of MgCr2Ir. The functional is PBE.

crystal system: monoclinic
space group: P2/m (10)
E: -7.23 eV per atom
D(E_F): 0.79 states/eV per atom
energy of formation from the pure elements: 0.1967 eV/atom

Lattice parameters (Å, degrees): 2.6643 4.2015 5.0150 90.00 104.63 90.00
Atoms (fractional coordinates):
1 Mg 0.0000 0.0000 0.0000
2 Cr 0.4892 0.5000 0.7519
3 Cr 0.5108 0.5000 0.2481
4 Ir 0.0000 0.0000 0.5000